# Th2Zn2CdRh5

A geometry-optimized Th2Zn2CdRh5 structure (PBE-GGA, Alexandria via LeMat-Bulk). Values from VASP.

Computed properties:
- total magnetic moment (μB/f.u.) = 0.00
- ΔE_f (eV/atom) = -0.5978
- DOS at the Fermi energy (states/eV/atom) = 0.642

The structure in Quantum ESPRESSO input format:
```
&SYSTEM
  ibrav = 0, nat = 20, ntyp = 4
/
ATOMIC_SPECIES
Th 232.04 Th.upf
Zn 65.41 Zn.upf
Cd 112.41 Cd.upf
Rh 102.91 Rh.upf
ATOMIC_POSITIONS crystal
Th 0.1785 0.3215 0.0000
Th 0.3215 0.8215 0.0000
Th 0.6785 0.1785 0.0000
Th 0.8215 0.6785 0.0000
Zn 0.1192 0.6192 0.0000
Zn 0.3808 0.1192 0.0000
Zn 0.6192 0.8808 0.0000
Zn 0.8808 0.3808 0.0000
Cd 0.0000 0.0000 0.0000
Cd 0.5000 0.5000 0.0000
Rh 0.0000 0.5000 0.5000
Rh 0.0768 0.7924 0.5000
Rh 0.2076 0.0768 0.5000
Rh 0.2924 0.5768 0.5000
Rh 0.4232 0.2924 0.5000
Rh 0.5000 0.0000 0.5000
Rh 0.5768 0.7076 0.5000
Rh 0.7076 0.4232 0.5000
Rh 0.7924 0.9232 0.5000
Rh 0.9232 0.2076 0.5000
CELL_PARAMETERS angstrom
9.8091 0.0000 0.0000
0.0000 9.8091 0.0000
0.0000 0.0000 3.7427
```

=====

# Ti4CdRh5

A geometry-optimized Ti4CdRh5 structure (PBE-GGA, Alexandria via LeMat-Bulk). Values from VASP.

Computed properties:
- total magnetic moment (μB/f.u.) = 0.00
- ΔE_f (eV/atom) = -0.6972
- DOS at the Fermi energy (states/eV/atom) = 0.725

The structure in Quantum ESPRESSO input format:
```
&SYSTEM
  ibrav = 0, nat = 10, ntyp = 3
/
ATOMIC_SPECIES
Ti 47.87 Ti.upf
Cd 112.41 Cd.upf
Rh 102.91 Rh.upf
ATOMIC_POSITIONS crystal
Ti 0.0000 0.0000 0.0969
Ti 0.0000 0.0000 0.2962
Ti 0.0000 0.0000 0.7038
Ti 0.0000 0.0000 0.9031
Cd 0.0000 0.0000 0.5000
Rh 0.5000 0.5000 0.0000
Rh 0.5000 0.5000 0.1934
Rh 0.5000 0.5000 0.3807
Rh 0.5000 0.5000 0.6193
Rh 0.5000 0.5000 0.8066
CELL_PARAMETERS angstrom
3.1604 0.0000 0.0000
0.0000 3.1604 0.0000
0.0000 0.0000 15.4372
```

=====

# Ti2CdRh

A geometry-optimized Ti2CdRh structure (PBE-GGA, Alexandria via LeMat-Bulk). Values from VASP.

Computed properties:
- total magnetic moment (μB/f.u.) = 0.00
- ΔE_f (eV/atom) = 0.0512
- DOS at the Fermi energy (states/eV/atom) = 1.408

The structure in Quantum ESPRESSO input format:
```
&SYSTEM
  ibrav = 0, nat = 4, ntyp = 3
/
ATOMIC_SPECIES
Ti 47.87 Ti.upf
Cd 112.41 Cd.upf
Rh 102.91 Rh.upf
ATOMIC_POSITIONS crystal
Ti 0.0967 0.0967 0.0967
Ti 0.9033 0.9033 0.9033
Cd 0.0000 0.0000 0.0000
Rh 0.5000 0.5000 0.5000
CELL_PARAMETERS angstrom
1.4236 0.8219 10.2325
-1.4236 0.8219 10.2325
0.0000 -1.6439 10.2325
```

=====

# Ti2CdRh

A geometry-optimized Ti2CdRh structure (PBE-GGA, Alexandria via LeMat-Bulk). Values from VASP.

Computed properties:
- total magnetic moment (μB/f.u.) = 0.98
- ΔE_f (eV/atom) = 0.0075
- DOS at the Fermi energy (states/eV/atom) = 1.377

The structure in Quantum ESPRESSO input format:
```
&SYSTEM
  ibrav = 0, nat = 4, ntyp = 3
/
ATOMIC_SPECIES
Ti 47.87 Ti.upf
Cd 112.41 Cd.upf
Rh 102.91 Rh.upf
ATOMIC_POSITIONS crystal
Ti 0.0000 0.0000 0.0000
Ti 0.2133 0.2133 0.2133
Cd 0.7730 0.7730 0.7730
Rh 0.6085 0.6085 0.6085
CELL_PARAMETERS angstrom
1.9482 1.1248 6.1175
-1.9482 1.1248 6.1175
0.0000 -2.2496 6.1175
```

=====

# Ti5CdRh4

A geometry-optimized Ti5CdRh4 structure (PBE-GGA, Alexandria via LeMat-Bulk). Values from VASP.

Computed properties:
- total magnetic moment (μB/f.u.) = 1.01
- ΔE_f (eV/atom) = -0.5887
- DOS at the Fermi energy (states/eV/atom) = 0.986

The structure in Quantum ESPRESSO input format:
```
&SYSTEM
  ibrav = 0, nat = 10, ntyp = 3
/
ATOMIC_SPECIES
Ti 47.87 Ti.upf
Cd 112.41 Cd.upf
Rh 102.91 Rh.upf
ATOMIC_POSITIONS crystal
Ti 0.0000 0.0000 0.0000
Ti 0.0000 0.0000 0.1900
Ti 0.0000 0.0000 0.3793
Ti 0.0000 0.0000 0.6207
Ti 0.0000 0.0000 0.8100
Cd 0.5000 0.5000 0.5000
Rh 0.5000 0.5000 0.0971
Rh 0.5000 0.5000 0.2819
Rh 0.5000 0.5000 0.7181
Rh 0.5000 0.5000 0.9029
CELL_PARAMETERS angstrom
2.9735 0.0000 0.0000
0.0000 2.9735 0.0000
0.0000 0.0000 17.8339
```

=====

# TiCd3Rh

A geometry-optimized TiCd3Rh structure (PBE-GGA, Alexandria via LeMat-Bulk). Values from VASP.

Computed properties:
- total magnetic moment (μB/f.u.) = 1.24
- ΔE_f (eV/atom) = 1.3023
- DOS at the Fermi energy (states/eV/atom) = 0.768

The structure in Quantum ESPRESSO input format:
```
&SYSTEM
  ibrav = 0, nat = 5, ntyp = 3
/
ATOMIC_SPECIES
Ti 47.87 Ti.upf
Cd 112.41 Cd.upf
Rh 102.91 Rh.upf
ATOMIC_POSITIONS crystal
Ti 0.0000 0.0000 0.0000
Cd 0.0000 0.0000 0.5000
Cd 0.0000 0.5000 0.0000
Cd 0.5000 0.0000 0.0000
Rh 0.5000 0.5000 0.5000
CELL_PARAMETERS angstrom
5.1950 0.0000 0.0000
0.0000 5.1950 0.0000
0.0000 0.0000 5.1950
```

=====

# Ti2CdRh3

A geometry-optimized Ti2CdRh3 structure (PBE-GGA, Alexandria via LeMat-Bulk). Values from VASP.

Computed properties:
- total magnetic moment (μB/f.u.) = 0.00
- ΔE_f (eV/atom) = -0.6693
- DOS at the Fermi energy (states/eV/atom) = 0.378

The structure in Quantum ESPRESSO input format:
```
&SYSTEM
  ibrav = 0, nat = 6, ntyp = 3
/
ATOMIC_SPECIES
Ti 47.87 Ti.upf
Cd 112.41 Cd.upf
Rh 102.91 Rh.upf
ATOMIC_POSITIONS crystal
Ti 0.0000 0.0000 0.1643
Ti 0.0000 0.0000 0.8357
Cd 0.0000 0.0000 0.5000
Rh 0.5000 0.5000 0.0000
Rh 0.5000 0.5000 0.3032
Rh 0.5000 0.5000 0.6968
CELL_PARAMETERS angstrom
3.0415 0.0000 0.0000
0.0000 3.0415 0.0000
0.0000 0.0000 10.1993
```

=====

# TiCd3Rh

A geometry-optimized TiCd3Rh structure (PBE-GGA, Alexandria via LeMat-Bulk). Values from VASP.

Computed properties:
- total magnetic moment (μB/f.u.) = 0.00
- ΔE_f (eV/atom) = 0.6979
- DOS at the Fermi energy (states/eV/atom) = 1.973

The structure in Quantum ESPRESSO input format:
```
&SYSTEM
  ibrav = 0, nat = 5, ntyp = 3
/
ATOMIC_SPECIES
Ti 47.87 Ti.upf
Cd 112.41 Cd.upf
Rh 102.91 Rh.upf
ATOMIC_POSITIONS crystal
Ti 0.0000 0.0000 0.0000
Cd 0.0000 0.5000 0.5000
Cd 0.5000 0.0000 0.5000
Cd 0.5000 0.5000 0.0000
Rh 0.5000 0.5000 0.5000
CELL_PARAMETERS angstrom
5.0295 0.0000 0.0000
0.0000 5.0295 0.0000
0.0000 0.0000 5.0295
```

=====

# Ti3CdRh4

A geometry-optimized Ti3CdRh4 structure (PBE-GGA, Alexandria via LeMat-Bulk). Values from VASP.

Computed properties:
- total magnetic moment (μB/f.u.) = 0.00
- ΔE_f (eV/atom) = -0.6689
- DOS at the Fermi energy (states/eV/atom) = 0.908

The structure in Quantum ESPRESSO input format:
```
&SYSTEM
  ibrav = 0, nat = 8, ntyp = 3
/
ATOMIC_SPECIES
Ti 47.87 Ti.upf
Cd 112.41 Cd.upf
Rh 102.91 Rh.upf
ATOMIC_POSITIONS crystal
Ti 0.0000 0.0000 0.0000
Ti 0.2469 0.2469 0.2469
Ti 0.7531 0.7531 0.7531
Cd 0.5000 0.5000 0.5000
Rh 0.1134 0.1134 0.1134
Rh 0.3681 0.3681 0.3681
Rh 0.6319 0.6319 0.6319
Rh 0.8866 0.8866 0.8866
CELL_PARAMETERS angstrom
2.2068 1.2741 7.3449
-2.2068 1.2741 7.3449
0.0000 -2.5482 7.3449
```

=====

# Ti4CdRh

A geometry-optimized Ti4CdRh structure (PBE-GGA, Alexandria via LeMat-Bulk). Values from VASP.

Computed properties:
- total magnetic moment (μB/f.u.) = 0.00
- ΔE_f (eV/atom) = -0.3226
- DOS at the Fermi energy (states/eV/atom) = 0.666

The structure in Quantum ESPRESSO input format:
```
&SYSTEM
  ibrav = 0, nat = 6, ntyp = 3
/
ATOMIC_SPECIES
Ti 47.87 Ti.upf
Cd 112.41 Cd.upf
Rh 102.91 Rh.upf
ATOMIC_POSITIONS crystal
Ti 0.0000 0.0000 0.1463
Ti 0.0000 0.0000 0.8537
Ti 0.5000 0.5000 0.3086
Ti 0.5000 0.5000 0.6914
Cd 0.0000 0.0000 0.5000
Rh 0.5000 0.5000 0.0000
CELL_PARAMETERS angstrom
3.0318 0.0000 0.0000
0.0000 3.0318 0.0000
0.0000 0.0000 11.1054
```

=====

# Ti2CdRh

A geometry-optimized Ti2CdRh structure (PBE-GGA, Alexandria via LeMat-Bulk). Values from VASP.

Computed properties:
- total magnetic moment (μB/f.u.) = 0.00
- ΔE_f (eV/atom) = -0.3288
- DOS at the Fermi energy (states/eV/atom) = 0.904

The structure in Quantum ESPRESSO input format:
```
&SYSTEM
  ibrav = 0, nat = 4, ntyp = 3
/
ATOMIC_SPECIES
Ti 47.87 Ti.upf
Cd 112.41 Cd.upf
Rh 102.91 Rh.upf
ATOMIC_POSITIONS crystal
Ti 0.0000 0.0000 0.2179
Ti 0.0000 0.0000 0.7821
Cd 0.5000 0.5000 0.5000
Rh 0.5000 0.5000 0.0000
CELL_PARAMETERS angstrom
3.1068 0.0000 0.0000
0.0000 3.1068 0.0000
0.0000 0.0000 7.0159
```

=====

# TiCd2Rh2

A geometry-optimized TiCd2Rh2 structure (PBE-GGA, Alexandria via LeMat-Bulk). Values from VASP.

Computed properties:
- total magnetic moment (μB/f.u.) = 0.00
- ΔE_f (eV/atom) = -0.2343
- DOS at the Fermi energy (states/eV/atom) = 0.646

The structure in Quantum ESPRESSO input format:
```
&SYSTEM
  ibrav = 0, nat = 10, ntyp = 3
/
ATOMIC_SPECIES
Ti 47.87 Ti.upf
Cd 112.41 Cd.upf
Rh 102.91 Rh.upf
ATOMIC_POSITIONS crystal
Ti 0.0000 0.0000 0.0000
Ti 0.5000 0.5000 0.0000
Cd 0.1639 0.3361 0.5000
Cd 0.3361 0.8361 0.5000
Cd 0.6639 0.1639 0.5000
Cd 0.8361 0.6639 0.5000
Rh 0.1432 0.6432 0.0000
Rh 0.3568 0.1432 0.0000
Rh 0.6432 0.8568 0.0000
Rh 0.8568 0.3568 0.0000
CELL_PARAMETERS angstrom
6.4515 0.0000 0.0000
0.0000 6.4515 0.0000
0.0000 0.0000 4.3252
```